1.
! RhAuBr2 meta-GGA SCAN PBEsol geometry; values from VASP
&SYSTEM
  ibrav = 0, nat = 4, ntyp = 3
/
ATOMIC_SPECIES
Rh 102.91 Rh.upf
Au 196.97 Au.upf
Br 79.90 Br.upf
ATOMIC_POSITIONS angstrom
Rh 0.000 0.000 5.830
Au 0.000 2.235 2.136
Br 0.000 0.000 0.170
Br 1.525 0.000 3.781
CELL_PARAMETERS angstrom
3.050 0.000 0.000
0.000 4.469 0.000
-1.525 -2.235 5.959
! total energy = -1.2894 hartree per atom
! density = 9.40 Mg/m³
! magnetic moment = 0.000 μB per atom
! D(E_F) = 0.566 states/eV/atom
! energy relative to the elements, uncorrected = 0.3760 eV/atom
! space group = No. 44

2.
! ZrCdBi2H meta-GGA SCAN PBEsol geometry; values from VASP
&SYSTEM
  ibrav = 0, nat = 5, ntyp = 4
/
ATOMIC_SPECIES
H 1.01 H.upf
Bi 208.98 Bi.upf
Zr 91.22 Zr.upf
Cd 112.41 Cd.upf
ATOMIC_POSITIONS angstrom
H 3.846 1.770 2.392
Bi 1.470 -1.399 1.897
Bi -0.055 2.215 1.676
Zr 0.000 0.000 0.000
Cd 2.431 0.954 -1.181
CELL_PARAMETERS angstrom
-0.111 4.430 3.351
2.941 -2.797 3.794
4.861 1.908 -2.361
! total energy = -1.6017 hartree per atom
! density = 5.84 Mg/m³
! magnetic moment = 0.192 μB per atom
! D(E_F) = 0.496 states/eV/atom
! space group = No. 123

3.
! CsInRhBr2 meta-GGA SCAN PBEsol geometry; values from VASP
&SYSTEM
  ibrav = 0, nat = 5, ntyp = 4
/
ATOMIC_SPECIES
Cs 132.91 Cs.upf
Rh 102.91 Rh.upf
Br 79.90 Br.upf
In 114.82 In.upf
ATOMIC_POSITIONS angstrom
Cs -2.680 2.402 0.582
Rh -5.194 -0.550 1.189
Br -0.822 -1.454 2.217
Br -1.693 -1.498 -1.610
In 0.000 0.000 0.000
CELL_PARAMETERS angstrom
-3.386 -2.996 -3.221
-1.644 -2.908 4.433
-5.359 4.805 1.165
! total energy = -1.0437 hartree per atom
! density = 3.77 Mg/m³
! magnetic moment = 0.518 μB per atom
! D(E_F) = 0.986 states/eV/atom
! energy relative to the elements, uncorrected = 0.3773 eV/atom
! space group = No. 123

4.
! BeGeSe2 meta-GGA SCAN PBEsol geometry; values from VASP
&SYSTEM
  ibrav = 0, nat = 4, ntyp = 3
/
ATOMIC_SPECIES
Be 9.01 Be.upf
Ge 72.64 Ge.upf
Se 78.96 Se.upf
ATOMIC_POSITIONS angstrom
Be 0.000 0.000 0.000
Ge -0.230 -2.070 5.509
Se -2.074 -4.120 5.872
Se 1.614 -0.020 5.146
CELL_PARAMETERS angstrom
-3.057 -0.989 2.629
-0.132 -3.785 1.701
2.728 0.634 6.688
! total energy = -0.5902 hartree per atom
! density = 3.89 Mg/m³
! magnetic moment = 0.000 μB per atom
! energy relative to the elements, uncorrected = -0.1609 eV/atom
! space group = No. 166

5.
! CoSeN2F meta-GGA SCAN PBEsol geometry; values from VASP
&SYSTEM
  ibrav = 0, nat = 5, ntyp = 4
/
ATOMIC_SPECIES
N 14.01 N.upf
Co 58.93 Co.upf
Se 78.96 Se.upf
F 19.00 F.upf
ATOMIC_POSITIONS angstrom
N 0.000 0.000 1.859
N 0.000 1.859 0.000
Co 0.000 0.000 0.000
Se 1.840 1.859 1.859
F 1.840 0.000 0.000
CELL_PARAMETERS angstrom
3.680 0.000 0.000
0.000 3.719 0.000
0.000 0.000 3.719
! total energy = -0.4140 hartree per atom
! density = 6.03 Mg/m³
! magnetic moment = 0.240 μB per atom
! D(E_F) = 0.249 states/eV/atom
! energy relative to the elements, uncorrected = 0.6365 eV/atom
! space group = No. 123

6.
! K2AlW meta-GGA SCAN PBEsol geometry; values from VASP
&SYSTEM
  ibrav = 0, nat = 4, ntyp = 3
/
ATOMIC_SPECIES
K 39.10 K.upf
Al 26.98 Al.upf
W 183.84 W.upf
ATOMIC_POSITIONS angstrom
K 0.000 1.965 0.000
K 1.965 0.000 0.000
Al 0.000 0.000 2.943
W 1.965 1.965 2.943
CELL_PARAMETERS angstrom
3.930 0.000 0.000
0.000 3.930 0.000
0.000 0.000 5.885
! total energy = -0.8164 hartree per atom
! density = 5.28 Mg/m³
! magnetic moment = 0.267 μB per atom
! D(E_F) = 0.294 states/eV/atom
! space group = No. 123